VASP calculation (GGA-PBE) on a geometry-optimized Tb2TaSi3Ir4 structure.

Symmetry: P-4m2, No. 115
Energy relative to the elements, uncorrected (meV/atom): -972
Mass density (g cm⁻³): 12.73

abc: 4.109 4.109 10.446
angles: 90.00 90.00 90.00
Fractional coordinates of all 10 atoms:
1 Tb 0.500 0.000 0.237
2 Tb 0.000 0.500 0.763
3 Ta 0.500 0.500 0.500
4 Si 0.000 0.000 0.500
5 Si 0.500 0.000 0.874
6 Si 0.000 0.500 0.126
7 Ir 0.500 0.500 0.000
8 Ir 0.000 0.000 0.000
9 Ir 0.500 0.000 0.644
10 Ir 0.000 0.500 0.356

VASP calculation (GGA-PBE) on a geometry-optimized PmSmGa structure.

Symmetry: P4/nmm, No. 129
ΔE_f (eV per formula unit): -1.01
Mass density (g cm⁻³): 7.12

abc: 4.593 4.593 8.075
angles: 90.00 90.00 90.00
Each line ends with the local moment (μB).
Fractional coordinates of all 6 atoms:
1 Pm 0.000 0.000 0.000  0.08
2 Pm 0.500 0.500 0.000  0.08
3 Sm 0.000 0.500 0.365  0.07
4 Sm 0.500 0.000 0.635  0.07
5 Ga 0.000 0.500 0.733  0.00
6 Ga 0.500 0.000 0.267  0.00